Record 1
First-principles (PBE) data for CrGaC2 after structural relaxation, as listed in the Alexandria database. Values from VASP.

Cell and atoms, written as Quantum ESPRESSO input:
```
&SYSTEM
  ibrav = 0, nat = 8, ntyp = 3
/
ATOMIC_SPECIES
Cr 52.00 Cr.upf
C 12.01 C.upf
Ga 69.72 Ga.upf
ATOMIC_POSITIONS angstrom
Cr 2.299 2.299 0.000
Cr 2.299 4.597 2.240
C 3.303 1.149 1.120
C 1.295 3.448 1.120
C 3.448 3.593 3.360
C 5.747 5.601 3.360
Ga 0.000 0.000 0.000
Ga 4.597 2.299 2.240
CELL_PARAMETERS angstrom
4.597 0.000 0.000
0.000 4.597 0.000
2.299 2.299 4.480
```

space-group type: I-42d
spin magnetization: 0.96 μB/f.u.
calculated total energy: -7.148 eV per atom



Record 2
First-principles (PBE) data for MnCr2GaC after structural relaxation, as listed in the Alexandria database. Values from VASP.

Cell and atoms, written as Quantum ESPRESSO input:
```
&SYSTEM
  ibrav = 0, nat = 5, ntyp = 4
/
ATOMIC_SPECIES
Cr 52.00 Cr.upf
C 12.01 C.upf
Mn 54.94 Mn.upf
Ga 69.72 Ga.upf
ATOMIC_POSITIONS angstrom
Cr 1.218 -1.434 -0.433
Cr -1.460 -1.262 0.073
C 0.000 0.000 0.000
Mn 0.338 -0.282 1.885
Ga 0.097 -2.979 1.525
CELL_PARAMETERS angstrom
-2.920 -2.524 0.146
2.437 -2.869 -0.866
0.676 -0.564 3.770
```

space-group type: P4/mmm
spin magnetization: 1.40 μB/f.u.
calculated total energy: -8.157 eV per atom



Record 3
First-principles (PBE) data for MnCrGaC after structural relaxation, as listed in the Alexandria database. Values from VASP.

Cell and atoms, written as Quantum ESPRESSO input:
```
&SYSTEM
  ibrav = 0, nat = 4, ntyp = 4
/
ATOMIC_SPECIES
Mn 54.94 Mn.upf
Cr 52.00 Cr.upf
Ga 69.72 Ga.upf
C 12.01 C.upf
ATOMIC_POSITIONS angstrom
Mn 1.332 -2.005 0.994
Cr -3.572 -1.458 2.058
Ga -2.357 -1.711 -0.299
C -3.346 -2.364 3.802
CELL_PARAMETERS angstrom
-1.437 -0.486 -2.455
1.709 -2.048 1.102
-4.424 -1.252 4.533
```

space-group type: R3m
spin magnetization: 1.99 μB/f.u.
calculated total energy: -7.891 eV per atom



Record 4
First-principles (PBE) data for CrGaNi2C after structural relaxation, as listed in the Alexandria database. Values from VASP.

Cell and atoms, written as Quantum ESPRESSO input:
```
&SYSTEM
  ibrav = 0, nat = 5, ntyp = 4
/
ATOMIC_SPECIES
Ni 58.69 Ni.upf
C 12.01 C.upf
Ga 69.72 Ga.upf
Cr 52.00 Cr.upf
ATOMIC_POSITIONS angstrom
Ni 0.000 1.897 0.000
Ni 1.897 0.000 0.000
C 0.000 0.000 0.000
Ga 1.897 1.897 1.922
Cr 0.000 0.000 1.922
CELL_PARAMETERS angstrom
3.793 0.000 0.000
0.000 3.793 0.000
0.000 0.000 3.844
```

space-group type: P4/mmm
spin magnetization: 0.84 μB/f.u.
calculated total energy: -6.765 eV per atom



Record 5
First-principles (PBE) data for CrGa2OsC after structural relaxation, as listed in the Alexandria database. Values from VASP.

Cell and atoms, written as Quantum ESPRESSO input:
```
&SYSTEM
  ibrav = 0, nat = 5, ntyp = 4
/
ATOMIC_SPECIES
Cr 52.00 Cr.upf
C 12.01 C.upf
Os 190.23 Os.upf
Ga 69.72 Ga.upf
ATOMIC_POSITIONS angstrom
Cr 0.000 0.000 0.000
C 1.596 -0.800 0.237
Os 0.101 -3.752 0.334
Ga -0.920 -1.334 1.688
Ga -0.575 -1.617 -1.591
CELL_PARAMETERS angstrom
-1.149 -3.235 -3.183
3.191 -1.600 0.474
-1.840 -2.669 3.377
```

space-group type: P4/mmm
spin magnetization: 2.37 μB/f.u.
calculated total energy: -5.781 eV per atom



Record 6
First-principles (PBE) data for CrGaRe2C after structural relaxation, as listed in the Alexandria database. Values from VASP.

Cell and atoms, written as Quantum ESPRESSO input:
```
&SYSTEM
  ibrav = 0, nat = 5, ntyp = 4
/
ATOMIC_SPECIES
Re 186.21 Re.upf
C 12.01 C.upf
Ga 69.72 Ga.upf
Cr 52.00 Cr.upf
ATOMIC_POSITIONS angstrom
Re 0.000 2.212 0.000
Re 2.212 0.000 0.000
C 2.212 2.212 2.245
Ga 0.000 0.000 2.245
Cr 0.000 0.000 0.000
CELL_PARAMETERS angstrom
4.424 0.000 0.000
0.000 4.424 0.000
0.000 0.000 4.490
```

space-group type: P4/mmm
spin magnetization: 0.09 μB/f.u.
calculated total energy: -6.804 eV per atom



Question: Look up the calculated total energy of the third one.
Answer: -7.891 eV per atom



Question: Among the records above, which one has the lowest calculated total energy?
Answer: MnCr2GaC



Please write out number 3 again, unchanged.
First-principles (PBE) data for MnCrGaC after structural relaxation, as listed in the Alexandria database. Values from VASP.

Cell and atoms, written as Quantum ESPRESSO input:
```
&SYSTEM
  ibrav = 0, nat = 4, ntyp = 4
/
ATOMIC_SPECIES
Mn 54.94 Mn.upf
Cr 52.00 Cr.upf
Ga 69.72 Ga.upf
C 12.01 C.upf
ATOMIC_POSITIONS angstrom
Mn 1.332 -2.005 0.994
Cr -3.572 -1.458 2.058
Ga -2.357 -1.711 -0.299
C -3.346 -2.364 3.802
CELL_PARAMETERS angstrom
-1.437 -0.486 -2.455
1.709 -2.048 1.102
-4.424 -1.252 4.533
```

space-group type: R3m
spin magnetization: 1.99 μB/f.u.
calculated total energy: -7.891 eV per atom